[1]
! ReNiSe PBEsol optimized geometry; values from VASP
! - Crystal system: cubic
! - Raw total energy: -21.97 eV per cell
! - Symmetry: No. 216
! - E_form (uncorrected): 0.455 eV/atom
&SYSTEM
  ibrav = 0, nat = 3, ntyp = 3
/
ATOMIC_SPECIES
Re 186.21 Re.upf
Ni 58.69 Ni.upf
Se 78.96 Se.upf
CELL_PARAMETERS angstrom
0.000 2.871 2.871
2.871 0.000 2.871
2.871 2.871 0.000
ATOMIC_POSITIONS crystal
Re 0.000 0.000 0.000
Ni 0.250 0.250 0.250
Se 0.750 0.750 0.750

---

[2]
! NaPr8Se12 PBEsol optimized geometry; values from VASP
! - Crystal system: tetragonal
! - Raw total energy: -257.22 eV per cell
! - Symmetry: No. 122
! - E_form (uncorrected): -1.882 eV/atom
&SYSTEM
  ibrav = 0, nat = 42, ntyp = 3
/
ATOMIC_SPECIES
Na 22.99 Na.upf
Pr 140.91 Pr.upf
Se 78.96 Se.upf
CELL_PARAMETERS angstrom
-4.429 4.429 13.330
4.429 -4.429 13.330
4.429 4.429 -13.330
ATOMIC_POSITIONS crystal
Na 0.000 0.000 0.000
Na 0.750 0.250 0.500
Pr 0.037 0.662 0.118
Pr 0.081 0.963 0.625
Pr 0.083 0.583 0.500
Pr 0.206 0.588 0.875
Pr 0.333 0.333 0.000
Pr 0.338 0.456 0.375
Pr 0.375 0.005 0.130
Pr 0.412 0.287 0.618
Pr 0.417 0.917 0.500
Pr 0.544 0.919 0.882
Pr 0.667 0.667 0.000
Pr 0.669 0.794 0.382
Pr 0.713 0.331 0.125
Pr 0.755 0.625 0.630
Pr 0.875 0.245 0.870
Pr 0.995 0.125 0.370
Se 0.010 0.606 0.251
Se 0.027 0.925 0.747
Se 0.030 0.427 0.753
Se 0.061 0.313 0.905
Se 0.063 0.311 0.405
Se 0.075 0.823 0.102
Se 0.177 0.280 0.253
Se 0.241 0.990 0.597
Se 0.342 0.937 0.248
Se 0.355 0.759 0.749
Se 0.356 0.260 0.751
Se 0.394 0.645 0.403
Se 0.395 0.644 0.903
Se 0.408 0.156 0.095
Se 0.509 0.605 0.249
Se 0.573 0.325 0.602
Se 0.675 0.277 0.247
Se 0.687 0.592 0.748
Se 0.689 0.094 0.752
Se 0.720 0.973 0.898
Se 0.723 0.970 0.398
Se 0.740 0.491 0.097
Se 0.844 0.939 0.252
Se 0.906 0.658 0.595

---

[3]
! ZrMo2Br PBEsol optimized geometry; values from VASP
! - Crystal system: orthorhombic
! - Raw total energy: -32.98 eV per cell
! - Symmetry: No. 47
! - E_form (uncorrected): 0.379 eV/atom
&SYSTEM
  ibrav = 0, nat = 4, ntyp = 3
/
ATOMIC_SPECIES
Zr 91.22 Zr.upf
Mo 95.94 Mo.upf
Br 79.90 Br.upf
CELL_PARAMETERS angstrom
3.197 0.000 0.000
0.000 4.279 0.000
0.000 0.000 5.027
ATOMIC_POSITIONS crystal
Zr 0.000 0.000 0.000
Mo 0.000 0.500 0.500
Mo 0.500 0.000 0.500
Br 0.500 0.500 0.000

---

[4]
! HgBRh3 PBEsol optimized geometry; values from VASP
! - Calculated formation energy: -0.071 eV/atom
! - Crystal system: cubic
! - Raw total energy: -32.36 eV per cell
! - Symmetry: No. 221
&SYSTEM
  ibrav = 0, nat = 5, ntyp = 3
/
ATOMIC_SPECIES
Hg 200.59 Hg.upf
B 10.81 B.upf
Rh 102.91 Rh.upf
CELL_PARAMETERS angstrom
4.096 0.000 0.000
0.000 4.096 0.000
0.000 0.000 4.096
ATOMIC_POSITIONS crystal
Hg 0.000 0.000 0.000
B 0.500 0.500 0.500
Rh 0.000 0.500 0.500
Rh 0.500 0.000 0.500
Rh 0.500 0.500 0.000

---

[5]
! KVS2O8 PBEsol optimized geometry; values from VASP
! - Crystal system: trigonal
! - Raw total energy: -82.41 eV per cell
! - Symmetry: No. 148
! - E_form (uncorrected): -1.740 eV/atom
&SYSTEM
  ibrav = 0, nat = 12, ntyp = 4
/
ATOMIC_SPECIES
K 39.10 K.upf
V 50.94 V.upf
S 32.06 S.upf
O 16.00 O.upf
CELL_PARAMETERS angstrom
2.397 1.384 7.994
-2.397 1.384 7.994
0.000 -2.768 7.994
ATOMIC_POSITIONS crystal
K 0.000 0.000 0.000
V 0.500 0.500 0.500
S 0.237 0.237 0.237
S 0.763 0.763 0.763
O 0.092 0.753 0.508
O 0.247 0.492 0.908
O 0.298 0.298 0.298
O 0.492 0.908 0.247
O 0.508 0.092 0.753
O 0.702 0.702 0.702
O 0.753 0.508 0.092
O 0.908 0.247 0.492

---

[6]
! AlReMo2 PBEsol optimized geometry; values from VASP
! - Calculated formation energy: -0.060 eV/atom
! - Crystal system: monoclinic
! - Raw total energy: -41.20 eV per cell
! - Symmetry: No. 6
&SYSTEM
  ibrav = 0, nat = 4, ntyp = 3
/
ATOMIC_SPECIES
Al 26.98 Al.upf
Re 186.21 Re.upf
Mo 95.94 Mo.upf
CELL_PARAMETERS angstrom
2.685 0.000 0.000
0.000 4.353 0.000
-1.008 0.000 5.075
ATOMIC_POSITIONS crystal
Al 0.000 0.000 0.000
Re 0.255 0.500 0.753
Mo 0.481 0.000 0.502
Mo 0.693 0.500 0.239